1.
In2CuHg | PBE | optimized geometry

Cell and atoms, written as extended XYZ:
```
4
Lattice="-4.2935 1.2485 -3.1197 -2.5562 -4.7459 -0.8174 1.4235 3.0808 4.2670" Properties=species:S:1:pos:R:3 pbc="T T T"
Cu -3.1474 1.2903 -0.4106
Hg -2.2787 -1.7069 0.7405
In -6.6485 -3.3947 -3.8215
In -3.6260 -1.8514 -2.0842
```

## Properties
DFT total energy: -9.185 eV for the cell shown
Space group: Immm
Calculated volume: 22.948 Å³/atom
Formation energy: 0.690 eV/f.u.


2.
KIn2CuHg | PBE | optimized geometry

Cell and atoms, written as extended XYZ:
```
5
Lattice="-5.0975 -0.5813 0.7537 -0.3278 -2.7828 -4.3634 0.9184 -4.4571 2.7736" Properties=species:S:1:pos:R:3 pbc="T T T"
K -2.2535 -3.9106 -0.4181
Hg 0.4592 -2.2285 1.3868
Cu 0.0000 0.0000 0.0000
In -0.1639 -1.3914 -2.1817
In -2.5488 -0.2906 0.3769
```

## Properties
DFT total energy: -10.923 eV for the cell shown
Space group: P4/mmm
Calculated volume: 28.662 Å³/atom
Formation energy: 0.049 eV/f.u.
Polymorph energy (0 for the lowest one): 0 meV per atom


3.
KIn2CuHg | PBE | optimized geometry

Cell and atoms, written as extended XYZ:
```
5
Lattice="5.0244 0.0000 0.0000 0.0000 5.0244 0.0000 0.0000 0.0000 6.3761" Properties=species:S:1:pos:R:3 pbc="T T T"
K 0.0000 0.0000 3.1881
Hg 2.5122 2.5122 3.1881
Cu 0.0000 0.0000 0.0000
In 0.0000 2.5122 0.0000
In 2.5122 0.0000 0.0000
```

## Properties
DFT total energy: -10.659 eV for the cell shown
Space group: P4/mmm
Calculated volume: 32.192 Å³/atom
Formation energy: 0.313 eV/f.u.
Polymorph energy (0 for the lowest one): 53 meV per atom


4.
KInCuHg2 | PBE | optimized geometry

Cell and atoms, written as extended XYZ:
```
5
Lattice="-1.6504 4.3560 2.4582 -4.4391 -0.0830 -2.8334 -2.2427 -2.8802 3.5980" Properties=species:S:1:pos:R:3 pbc="T T T"
K -4.1661 0.6964 1.6114
Hg -2.2196 -0.0415 -1.4167
Hg -0.8252 2.1780 1.2291
Cu 0.0000 0.0000 0.0000
In -1.1214 -1.4401 1.7990
```

## Properties
DFT total energy: -8.687 eV for the cell shown
Space group: P4/mmm
Calculated volume: 28.438 Å³/atom
Formation energy: -0.151 eV/f.u.


5.
NaInCuHg2 | PBE | optimized geometry

Cell and atoms, written as extended XYZ:
```
5
Lattice="-0.1380 4.3148 -2.8096 0.9503 -2.7410 -4.2561 -4.9596 -0.6198 -0.7083" Properties=species:S:1:pos:R:3 pbc="T T T"
Na -2.0736 0.4770 -3.8870
Hg 0.4752 -1.3705 -2.1281
Hg -0.0690 2.1574 -1.4048
Cu 0.0000 0.0000 0.0000
In -2.4798 -0.3099 -0.3541
```

## Properties
DFT total energy: -8.607 eV for the cell shown
Space group: P4/mmm
Calculated volume: 26.786 Å³/atom
Formation energy: 0.150 eV/f.u.


6.
Nd4InCuHg2 | PBE | optimized geometry

Cell and atoms, written as extended XYZ:
```
8
Lattice="-4.3839 -3.0575 0.6041 -1.2257 -2.0189 4.8325 -6.6003 5.4424 3.5930" Properties=species:S:1:pos:R:3 pbc="T T T"
Nd -7.7720 2.6973 5.1424
Nd -7.4740 -2.2646 6.1385
Nd -4.7360 2.6306 2.8912
Nd -4.4380 -2.3312 3.8873
In 0.0000 0.0000 0.0000
Cu -6.1050 0.1830 4.5149
Hg -9.2408 0.4001 6.8036
Hg -2.9692 -0.0341 2.2261
```

## Properties
DFT total energy: -29.463 eV for the cell shown
Space group: R-3m
Calculated volume: 27.385 Å³/atom
Formation energy: -2.953 eV/f.u.


7.
InCuHgP2 | PBE | optimized geometry

Cell and atoms, written as extended XYZ:
```
5
Lattice="-3.4024 2.5034 1.7275 1.1281 -1.8047 4.8369 2.8814 3.4830 0.6275" Properties=species:S:1:pos:R:3 pbc="T T T"
P 1.4407 1.7415 0.3138
P -1.7012 1.2517 0.8638
Hg 0.5640 -0.9023 2.4185
Cu 0.0000 0.0000 0.0000
In 0.3035 2.0909 3.5960
```

## Properties
DFT total energy: -15.336 eV for the cell shown
Space group: P4/mmm
Calculated volume: 22.012 Å³/atom
Formation energy: 2.620 eV/f.u.


8.
InCuHg2Pb | PBE | optimized geometry

Cell and atoms, written as extended XYZ:
```
5
Lattice="5.9149 0.0000 0.0000 0.0000 4.9878 0.0000 0.0000 0.0000 5.9149" Properties=species:S:1:pos:R:3 pbc="T T T"
Pb 0.0000 0.0000 0.0000
Hg 0.0000 0.0000 2.9575
Hg 2.9575 0.0000 0.0000
Cu 0.0000 2.4939 0.0000
In 2.9575 2.4939 2.9575
```

## Properties
DFT total energy: -8.872 eV for the cell shown
Space group: P4/mmm
Calculated volume: 34.901 Å³/atom
Formation energy: 2.274 eV/f.u.
Polymorph energy (0 for the lowest one): 269 meV per atom


9.
InCuHg2Pb | PBE | optimized geometry

Cell and atoms, written as extended XYZ:
```
5
Lattice="5.1003 0.0000 0.0000 0.0000 5.1003 0.0000 0.0000 0.0000 5.3566" Properties=species:S:1:pos:R:3 pbc="T T T"
Pb 0.0000 0.0000 2.6783
Hg 0.0000 2.5501 0.0000
Hg 2.5501 0.0000 0.0000
Cu 0.0000 0.0000 0.0000
In 2.5501 2.5501 2.6783
```

## Properties
DFT total energy: -10.217 eV for the cell shown
Space group: P4/mmm
Calculated volume: 27.868 Å³/atom
Formation energy: 0.930 eV/f.u.
Polymorph energy (0 for the lowest one): 0 meV per atom


10.
InCuHg2Pb | PBE | optimized geometry

Cell and atoms, written as extended XYZ:
```
5
Lattice="5.0771 0.0000 0.0000 0.0000 5.0771 0.0000 0.0000 0.0000 5.1820" Properties=species:S:1:pos:R:3 pbc="T T T"
Pb 2.5386 2.5386 2.5910
Hg 0.0000 2.5386 0.0000
Hg 2.5386 0.0000 0.0000
Cu 0.0000 0.0000 0.0000
In 0.0000 0.0000 2.5910
```

## Properties
DFT total energy: -10.183 eV for the cell shown
Space group: P4/mmm
Calculated volume: 26.716 Å³/atom
Formation energy: 0.964 eV/f.u.
Polymorph energy (0 for the lowest one): 7 meV per atom


11.
PmInCuHg | PBE | optimized geometry

Cell and atoms, written as extended XYZ:
```
4
Lattice="5.0221 0.0000 0.0000 2.5110 4.3492 0.0000 2.5110 1.4497 4.1005" Properties=species:S:1:pos:R:3 pbc="T T T"
In 2.5110 1.4497 1.0251
Hg 0.0000 0.0000 0.0000
Cu 5.0221 2.8995 2.0503
Pm 7.5331 4.3492 3.0754
```

## Properties
DFT total energy: -13.068 eV for the cell shown
Space group: F-43m
Calculated volume: 22.391 Å³/atom
Formation energy: -1.181 eV/f.u.


12.
Pm4InCuHg2 | PBE | optimized geometry

Cell and atoms, written as extended XYZ:
```
8
Lattice="-0.9297 5.1606 -1.0144 -5.0196 1.7923 -0.3419 -1.9642 3.9962 8.0705" Properties=species:S:1:pos:R:3 pbc="T T T"
Pm -3.9500 6.0665 6.3626
Pm -5.9418 7.6144 2.0021
Pm -1.9716 3.3348 4.7121
Pm -3.9634 4.8826 0.3517
In 0.0000 0.0000 0.0000
Cu -3.9567 5.4746 3.3571
Hg -5.9348 8.2401 5.1789
Hg -1.9787 2.7091 1.5353
```

## Properties
DFT total energy: -29.435 eV for the cell shown
Space group: R-3m
Calculated volume: 26.823 Å³/atom
Formation energy: -2.994 eV/f.u.